Density functional theory data (GGA-PBE) for a relaxed structure of NaMg4Bi.

Results
- DFT formation energy: 0.01 eV per atom

a = 8.5652 Å, b = 8.5652 Å, c = 8.5652 Å
α = 90.00°, β = 90.00°, γ = 90.00°
Closest atoms and distances in Å follow each position.
Space group F-43m (No. 216)
Unique sites:
Na 0.0000 0.0000 0.0000 [4 per cell]  12 Mg 3.55, 4 Bi 3.71
Mg 0.1249 0.1249 0.6249 [16 per cell]  6 Mg 3.03
Bi 0.2500 0.2500 0.2500 [4 per cell]  12 Mg 3.55, 4 Na 3.71

***

Density functional theory data (GGA-PBE) for a relaxed structure of Ac8Te4As3Pt.

Results
- Formation energy (no corrections): -1.479 eV/atom

a = 9.2004 Å, b = 9.2004 Å, c = 23.1578 Å
α = 90.00°, β = 90.00°, γ = 120.00°
Closest atoms and distances in Å follow each position.
Space group R-3m (No. 166, hexagonal axes)
Unique sites:
Ac 0.0000 0.0000 0.2415 [6 per cell]  3 As 3.17, 3 Te 3.40
Ac 0.0063 0.5031 0.2406 [18 per cell]  1 Pt 3.12, 2 As 3.18, 3 Te 3.40-3.46
Te 0.0000 0.0000 0.0000 [3 per cell]  6 Ac 3.46
Te 0.0000 0.5000 0.0000 [9 per cell]  6 Ac 3.40
As 0.0000 0.5000 0.5000 [9 per cell]  6 Ac 3.17-3.18
Pt 0.0000 0.0000 0.5000 [3 per cell]  6 Ac 3.12

***

Density functional theory data (GGA-PBE) for a relaxed structure of Ag2HSO4.

Results
- DFT total energy: -135.35 eV per cell

a = 10.6094 Å, b = 5.9393 Å, c = 7.5798 Å
α = 90.00°, β = 119.62°, γ = 90.00°
Closest atoms and distances in Å follow each position.
Space group C2/c (No. 15)
Unique sites:
Ag 0.0000 0.0000 0.0000 [4 per cell]  4 O 2.14-2.24
Ag 0.2500 0.2500 0.0000 [4 per cell]  2 O 2.13
H 0.0000 0.5000 0.0000 [4 per cell]  2 O 1.26
S 0.2500 0.2500 0.5000 [4 per cell]  2 O 1.67
O 0.0818 0.3342 0.5245 [8 per cell]  1 H 1.26
O 0.1565 0.0504 0.3306 [8 per cell]  1 S 1.67

***

Density functional theory data (GGA-PBE) for a relaxed structure of CsAsN2O.

Results
- Formation energy (no corrections): 2.508 eV/atom

a = 4.4671 Å, b = 4.4671 Å, c = 4.2680 Å
α = 90.00°, β = 90.00°, γ = 90.00°
Closest atoms and distances in Å follow each position.
Space group P4/mmm (No. 123)
Unique sites:
Cs 0.0000 0.0000 0.0000 [1 per cell]  2 O 2.13, 4 N 2.23
As 0.5000 0.5000 0.5000 [1 per cell]  8 N 3.09, 4 O 3.16
N 0.0000 0.5000 0.0000 [2 per cell]  2 Cs 2.23
O 0.0000 0.0000 0.5000 [1 per cell]  2 Cs 2.13

***

Density functional theory data (GGA-PBE) for a relaxed structure of Ba3Hg3Pt2.

Results
- DFT formation energy: -0.60 eV per atom

a = 4.5805 Å, b = 11.9550 Å, c = 17.9833 Å
α = 90.00°, β = 90.00°, γ = 90.00°
Closest atoms and distances in Å follow each position.
Space group Cmcm (No. 63)
Unique sites:
Ba 0.0000 0.0719 0.1022 [8 per cell]  3 Pt 3.33-3.59, 7 Hg 3.52-3.65
Ba 0.0000 0.3466 0.2500 [4 per cell]  5 Hg 3.41-3.81, 4 Pt 3.41
Hg 0.0000 0.3548 0.0384 [8 per cell]  3 Pt 2.88-3.20
Hg 0.0000 0.3648 0.7500 [4 per cell]  2 Pt 2.88
Pt 0.0000 0.2273 0.6183 [8 per cell]  4 Hg 2.88-3.20

***

Density functional theory data (GGA-PBE) for a relaxed structure of Ho2Cu3Ge4Pd.

Results
- DFT formation energy: -0.53 eV per atom

a = 4.1241 Å, b = 4.1241 Å, c = 10.2426 Å
α = 90.00°, β = 90.00°, γ = 90.00°
Closest atoms and distances in Å follow each position.
Space group P-4m2 (No. 115)
Unique sites:
Ho 0.0000 0.5000 0.2490 [2 per cell]  8 Ge 3.13-3.30, 6 Cu 3.16-3.28, 2 Pd 3.28
Cu 0.0000 0.0000 0.0000 [1 per cell]  4 Ge 2.50
Cu 0.0000 0.5000 0.6332 [2 per cell]  5 Ge 2.35-2.47
Ge 0.0000 0.0000 0.5000 [1 per cell]  4 Cu 2.47
Ge 0.0000 0.5000 0.8622 [2 per cell]  3 Cu 2.35-2.50, 2 Pd 2.50
Ge 0.5000 0.5000 0.5000 [1 per cell]  4 Cu 2.47
Pd 0.5000 0.5000 0.0000 [1 per cell]  4 Ge 2.50

***

Density functional theory data (GGA-PBE) for a relaxed structure of Sb3Cl.

Results
- Formation energy (no corrections): -0.040 eV/atom

a = 4.2524 Å, b = 4.3807 Å, c = 6.8219 Å
α = 90.00°, β = 90.00°, γ = 90.00°
Closest atoms and distances in Å follow each position.
Space group Pmm2 (No. 25)
Unique sites:
Sb 0.0000 0.0000 0.0000 [1 per cell]  4 Sb 3.09-3.10, 4 Cl 3.29
Sb 0.0000 0.5000 0.3207 [1 per cell]  6 Sb 3.05-3.10
Sb 0.5000 0.0000 0.3280 [1 per cell]  6 Sb 3.05-3.09
Cl 0.5000 0.5000 0.8185 [1 per cell]  4 Sb 3.29

***

Density functional theory data (GGA-PBE) for a relaxed structure of KRbSbTe2.

Results
- Formation energy (no corrections): 0.268 eV/atom

a = 6.2714 Å, b = 6.2714 Å, c = 6.0924 Å
α = 90.00°, β = 90.00°, γ = 90.00°
Closest atoms and distances in Å follow each position.
Space group P4/mmm (No. 123)
Unique sites:
K 0.0000 0.0000 0.0000 [1 per cell]  2 Sb 3.05, 4 Te 3.14
Rb 0.5000 0.5000 0.5000 [1 per cell]  8 Te 4.37, 4 Sb 4.43
Sb 0.0000 0.0000 0.5000 [1 per cell]  2 K 3.05
Te 0.0000 0.5000 0.0000 [2 per cell]  2 K 3.14

***

Density functional theory data (GGA-PBE) for a relaxed structure of DyEr2TmTl4.

Results
- DFT formation energy: -0.31 eV per atom

a = 5.3319 Å, b = 5.3319 Å, c = 26.2100 Å
α = 90.00°, β = 90.00°, γ = 120.00°
Closest atoms and distances in Å follow each position.
Space group R-3m (No. 166, hexagonal axes)
Unique sites:
Dy 0.0000 0.0000 0.0000 [3 per cell]  8 Tl 3.27-3.29
Er 0.0000 0.0000 0.2497 [6 per cell]  8 Tl 3.25-3.30
Tm 0.0000 0.0000 0.5000 [3 per cell]  8 Tl 3.26
Tl 0.0000 0.0000 0.1255 [6 per cell]  4 Er 3.25-3.27, 3 Tm 3.26, 1 Dy 3.29
Tl 0.0000 0.0000 0.3755 [6 per cell]  1 Tm 3.26, 4 Er 3.26-3.30, 3 Dy 3.27

***

Density functional theory data (GGA-PBE) for a relaxed structure of Cu2RuBr.

Results
- Formation energy (no corrections): 0.556 eV/atom

a = 2.9378 Å, b = 2.9378 Å, c = 25.1029 Å
α = 90.00°, β = 90.00°, γ = 120.00°
Closest atoms and distances in Å follow each position.
Space group R-3m (No. 166, hexagonal axes)
Unique sites:
Cu 0.0000 0.0000 0.2455 [6 per cell]  3 Ru 2.61, 3 Br 2.78
Ru 0.0000 0.0000 0.5000 [3 per cell]  6 Cu 2.61
Br 0.0000 0.0000 0.0000 [3 per cell]  6 Cu 2.78, 6 Br 2.94

***

Density functional theory data (GGA-PBE) for a relaxed structure of DyErCdNi.

Results
- DFT formation energy: -0.27 eV per atom

a = 7.1112 Å, b = 7.1112 Å, c = 7.1112 Å
α = 90.00°, β = 90.00°, γ = 90.00°
Closest atoms and distances in Å follow each position.
Space group F-43m (No. 216)
Unique sites:
Dy 0.0000 0.0000 0.0000 [4 per cell]  4 Cd 3.08, 4 Ni 3.08
Er 0.0000 0.0000 0.5000 [4 per cell]  4 Cd 3.08, 4 Ni 3.08
Cd 0.2500 0.2500 0.7500 [4 per cell]  4 Dy 3.08, 4 Er 3.08
Ni 0.2500 0.2500 0.2500 [4 per cell]  4 Dy 3.08, 4 Er 3.08

***

Density functional theory data (GGA-PBE) for a relaxed structure of SiTe2OsCl.

Results
- Formation energy (no corrections): 1.816 eV/atom

a = 5.2005 Å, b = 5.2005 Å, c = 4.4651 Å
α = 90.00°, β = 90.00°, γ = 90.00°
Closest atoms and distances in Å follow each position.
Space group P4/mmm (No. 123)
Unique sites:
Si 0.0000 0.0000 0.0000 [1 per cell]  2 Cl 2.23
Te 0.0000 0.5000 0.5000 [2 per cell]  2 Cl 2.60
Os 0.5000 0.5000 0.0000 [1 per cell]  8 Te 3.43, 4 Si 3.68
Cl 0.0000 0.0000 0.5000 [1 per cell]  2 Si 2.23